(1)
A plane-wave DFT calculation with GGA-PBE was carried out for CsAlCd2Cl8 after structural relaxation.

Summary:
**Raw formation energy**: -1.354 eV per atom
**DOS(E_F)**: 0.00 states/eV per atom
**Space-group type**: C2/m, No. 12
**Calculated density**: 2.98 g/cm³

Cell and atoms, written as POSCAR:
```
CsAlCd2Cl8
1.0
-2.2362 2.7092 5.3577
0.8581 -3.6239 5.2080
8.6513 4.1582 2.6111
Cs Al Cd Cl
1 1 2 8
Direct
0.0000 0.0000 0.5000 Cs
0.0000 0.0000 0.0000 Al
0.3670 0.3659 0.8163 Cd
0.6330 0.6341 0.1837 Cd
0.1991 0.7354 0.1699 Cl
0.7844 0.7847 0.9725 Cl
0.7356 0.1996 0.1696 Cl
0.8009 0.2646 0.8301 Cl
0.2156 0.2153 0.0275 Cl
0.2644 0.8004 0.8304 Cl
0.6757 0.6765 0.4164 Cl
0.3243 0.3235 0.5836 Cl
```



(2)
A plane-wave DFT calculation with GGA-PBE was carried out for CsAlCdCl6 after structural relaxation.

Summary:
**Raw formation energy**: -1.503 eV per atom
**DOS(E_F)**: 0.00 states/eV per atom
**Space-group type**: P312, No. 149
**Calculated density**: 2.74 g/cm³

Cell and atoms, written as POSCAR:
```
CsAlCdCl6
1.0
-1.6614 -3.1967 -5.5421
4.5108 -0.9736 -4.7327
1.9957 -6.7385 3.2884
Cs Al Cd Cl
1 1 1 6
Direct
0.0000 0.0000 0.0000 Cs
0.3333 0.3333 0.5000 Al
0.6666 0.6667 0.5000 Cd
0.0348 0.3540 0.3213 Cl
0.3539 0.0348 0.6787 Cl
0.6112 0.3540 0.6787 Cl
0.0348 0.6112 0.6787 Cl
0.3539 0.6112 0.3213 Cl
0.6112 0.0348 0.3213 Cl
```



(3)
A plane-wave DFT calculation with GGA-PBE was carried out for AlCdCl2F after structural relaxation.

Summary:
**Raw formation energy**: -0.726 eV per atom
**DOS(E_F)**: 0.83 states/eV per atom
**Space-group type**: P4/mmm, No. 123
**Calculated density**: 3.32 g/cm³

Cell and atoms, written as POSCAR:
```
AlCdCl2F
1.0
5.6672 0.0000 0.0000
0.0000 3.5732 0.0000
0.0000 0.0000 5.6672
F Cl Al Cd
1 2 1 1
Direct
0.0000 0.0000 0.0000 F
0.0000 0.0000 0.5000 Cl
0.5000 0.0000 0.0000 Cl
0.0000 0.5000 0.0000 Al
0.5000 0.5000 0.5000 Cd
```



(4)
A plane-wave DFT calculation with GGA-PBE was carried out for AlCd2GaCl after structural relaxation.

Summary:
**Raw formation energy**: 0.002 eV per atom
**DOS(E_F)**: 0.28 states/eV per atom
**Space-group type**: P4/mmm, No. 123
**Calculated density**: 4.17 g/cm³

Cell and atoms, written as POSCAR:
```
AlCd2GaCl
1.0
5.2750 0.0000 0.0000
0.0000 5.1043 0.0000
0.0000 0.0000 5.2750
Cl Al Ga Cd
1 1 1 2
Direct
0.5000 0.5000 0.5000 Cl
0.0000 0.0000 0.0000 Al
0.0000 0.5000 0.0000 Ga
0.0000 0.0000 0.5000 Cd
0.5000 0.0000 0.0000 Cd
```



(5)
A plane-wave DFT calculation with GGA-PBE was carried out for KAlCd2Cl8 after structural relaxation.

Summary:
**Raw formation energy**: -1.283 eV per atom
**DOS(E_F)**: 0.00 states/eV per atom
**Space-group type**: P-1, No. 2
**Calculated density**: 3.05 g/cm³

Cell and atoms, written as POSCAR:
```
KAlCd2Cl8
1.0
6.3367 0.0408 0.0049
0.0883 6.0285 0.0096
0.0184 0.0310 8.1837
K Al Cd Cl
1 1 2 8
Direct
0.0000 0.0000 0.5000 K
0.0000 0.0000 0.0000 Al
0.4999 0.4985 0.7598 Cd
0.5001 0.5015 0.2402 Cd
0.1519 0.7783 0.1988 Cl
0.6772 0.7459 0.9998 Cl
0.8460 0.2190 0.1977 Cl
0.8481 0.2217 0.8012 Cl
0.3228 0.2541 0.0002 Cl
0.1540 0.7810 0.8023 Cl
0.6119 0.7327 0.5005 Cl
0.3881 0.2673 0.4995 Cl
```



(6)
A plane-wave DFT calculation with GGA-PBE was carried out for NbAl2CdCl after structural relaxation.

Summary:
**Raw formation energy**: 0.383 eV per atom
**DOS(E_F)**: 0.63 states/eV per atom
**Space-group type**: P4/mmm, No. 123
**Calculated density**: 3.77 g/cm³

Cell and atoms, written as POSCAR:
```
NbAl2CdCl
1.0
5.2536 0.0000 0.0000
0.0000 4.6993 0.0000
0.0000 0.0000 5.2536
Nb Cl Al Cd
1 1 2 1
Direct
0.0000 0.0000 0.0000 Nb
0.0000 0.5000 0.0000 Cl
0.0000 0.0000 0.5000 Al
0.5000 0.0000 0.0000 Al
0.5000 0.5000 0.5000 Cd
```



(7)
A plane-wave DFT calculation with GGA-PBE was carried out for AlCdClO2 after structural relaxation.

Summary:
**Raw formation energy**: -1.890 eV per atom
**DOS(E_F)**: 0.00 states/eV per atom
**Space-group type**: P2_1/m, No. 11
**Calculated density**: 4.08 g/cm³

Cell and atoms, written as POSCAR:
```
AlCdClO2
1.0
3.4233 0.0000 0.0000
0.0000 6.3818 -0.1223
0.0000 -0.3534 7.7140
Al Cd Cl O
2 2 2 4
Direct
0.2500 0.9287 0.8697 Al
0.7500 0.0713 0.1303 Al
0.7500 0.2247 0.5740 Cd
0.2500 0.7753 0.4260 Cd
0.7500 0.4586 0.2963 Cl
0.2500 0.5414 0.7037 Cl
0.7500 0.8744 0.9370 O
0.2500 0.1256 0.0630 O
0.2500 0.0323 0.6635 O
0.7500 0.9677 0.3365 O
```



(8)
A plane-wave DFT calculation with GGA-PBE was carried out for RbAlCdCl6 after structural relaxation.

Summary:
**Raw formation energy**: -1.490 eV per atom
**DOS(E_F)**: 0.00 states/eV per atom
**Space-group type**: P312, No. 149
**Calculated density**: 2.64 g/cm³

Cell and atoms, written as POSCAR:
```
RbAlCdCl6
1.0
-6.4130 1.4608 0.5408
-2.8112 0.3598 5.9599
1.6445 7.0910 0.3475
Rb Al Cd Cl
1 1 1 6
Direct
0.0000 0.0000 0.0000 Rb
0.3333 0.3333 0.5000 Al
0.6666 0.6667 0.5000 Cd
0.0348 0.3530 0.3099 Cl
0.3530 0.0349 0.6901 Cl
0.6121 0.3530 0.6901 Cl
0.0348 0.6122 0.6900 Cl
0.3530 0.6121 0.3099 Cl
0.6121 0.0349 0.3099 Cl
```



(9)
A plane-wave DFT calculation with GGA-PBE was carried out for RbAl2CdCl8 after structural relaxation.

Summary:
**Raw formation energy**: -1.460 eV per atom
**DOS(E_F)**: 0.16 states/eV per atom
**Space-group type**: R-3, No. 148
**Calculated density**: 2.36 g/cm³

Cell and atoms, written as POSCAR:
```
RbAl2CdCl8
1.0
-5.5682 -3.7418 -0.0604
0.2952 -6.4812 1.7078
-3.4398 -1.0535 9.7745
Rb Al Cd Cl
1 2 1 8
Direct
0.5000 0.5000 0.5000 Rb
0.2466 0.2466 0.2603 Al
0.7534 0.7534 0.7397 Al
0.0000 0.0000 0.0000 Cd
0.1723 0.1723 0.4831 Cl
0.5582 0.3037 0.1890 Cl
0.8277 0.8277 0.5169 Cl
0.9492 0.5582 0.1890 Cl
0.0508 0.4418 0.8110 Cl
0.3037 0.9492 0.1890 Cl
0.6963 0.0508 0.8110 Cl
0.4418 0.6963 0.8110 Cl
```



(10)
A plane-wave DFT calculation with GGA-PBE was carried out for AlCdRhCl2 after structural relaxation.

Summary:
**Raw formation energy**: -0.085 eV per atom
**DOS(E_F)**: 0.49 states/eV per atom
**Space-group type**: P4/mmm, No. 123
**Calculated density**: 4.42 g/cm³

Cell and atoms, written as POSCAR:
```
AlCdRhCl2
1.0
-2.8465 -3.6357 1.6242
3.6794 -3.1829 -0.6764
1.5532 0.8246 4.5680
Cl Rh Al Cd
2 1 1 1
Direct
0.0000 0.0000 0.5000 Cl
0.5000 0.0000 0.0000 Cl
0.0000 0.0000 0.0000 Rh
0.0000 0.5000 0.0000 Al
0.5000 0.5000 0.5000 Cd
```



(11)
A plane-wave DFT calculation with GGA-PBE was carried out for AlCd2RuCl after structural relaxation.

Summary:
**Raw formation energy**: 0.591 eV per atom
**DOS(E_F)**: 0.66 states/eV per atom
**Space-group type**: P4/mmm, No. 123
**Calculated density**: 5.12 g/cm³

Cell and atoms, written as POSCAR:
```
AlCd2RuCl
1.0
5.2377 0.0000 0.0000
0.0000 4.5876 0.0000
0.0000 0.0000 5.2377
Ru Cl Al Cd
1 1 1 2
Direct
0.0000 0.5000 0.0000 Ru
0.5000 0.5000 0.5000 Cl
0.0000 0.0000 0.0000 Al
0.0000 0.0000 0.5000 Cd
0.5000 0.0000 0.0000 Cd
```



(12)
A plane-wave DFT calculation with GGA-PBE was carried out for AlCd2RuCl after structural relaxation.

Summary:
**Raw formation energy**: 0.895 eV per atom
**DOS(E_F)**: 0.70 states/eV per atom
**Space-group type**: P4/mmm, No. 123
**Calculated density**: 4.97 g/cm³

Cell and atoms, written as POSCAR:
```
AlCd2RuCl
1.0
5.2235 0.0000 0.0000
0.0000 4.7560 0.0000
0.0000 0.0000 5.2235
Ru Cl Al Cd
1 1 1 2
Direct
0.5000 0.5000 0.5000 Ru
0.0000 0.5000 0.0000 Cl
0.0000 0.0000 0.0000 Al
0.0000 0.0000 0.5000 Cd
0.5000 0.0000 0.0000 Cd
```



Question: The highest raw formation energy belongs to which entry?
Answer: number 12